(1)
# PBE-GGA Cs3Si2As4, relaxed
# ΔE_f (raw) ... -0.330 eV per atom
# Fermi-level density of states ... 8.6 states/eV/cell
# Total moment ... 0.00 μB/cell
data_Cs3Si2As4
_chemical_formula_sum 'Cs12 Si8 As16'
_symmetry_space_group_name_H-M 'C 1 2/c 1'
_symmetry_Int_Tables_number 15
_cell_length_a 19.919
_cell_length_b 10.729
_cell_length_c 7.119
_cell_angle_alpha 90.00
_cell_angle_beta 110.77
_cell_angle_gamma 90.00
loop_
_symmetry_equiv_pos_as_xyz
'x,y,z'
'-x,-y,-z'
'-x,y,-z+1/2'
'x,-y,z+1/2'
'x+1/2,y+1/2,z'
'-x+1/2,-y+1/2,-z'
'-x+1/2,y+1/2,-z+1/2'
'x+1/2,-y+1/2,z+1/2'
loop_
_atom_site_label
_atom_site_fract_x
_atom_site_fract_y
_atom_site_fract_z
Cs1 0.000 0.134 0.250
Cs2 0.159 0.344 0.913
Si1 0.216 0.122 0.467
As1 0.160 0.001 0.662
As2 0.161 0.322 0.414



(2)
# PBE-GGA HoNiSbRh, relaxed
# ΔE_f (raw) ... -0.596 eV per atom
# Fermi-level density of states ... 13.5 states/eV/cell
# Total moment ... 0.00 μB/cell
data_HoNiSbRh
_chemical_formula_sum 'Ho4 Ni4 Sb4 Rh4'
_symmetry_space_group_name_H-M 'F -4 3 m'
_symmetry_Int_Tables_number 216
_symmetry_space_group_name_Hall 'F -4 2 3'
_cell_length_a 6.572
_cell_length_b 6.572
_cell_length_c 6.572
_cell_angle_alpha 90.00
_cell_angle_beta 90.00
_cell_angle_gamma 90.00
loop_
_atom_site_label
_atom_site_fract_x
_atom_site_fract_y
_atom_site_fract_z
Ho1 0.000 0.000 0.000
Ni1 0.250 0.250 0.250
Sb1 0.000 0.000 0.500
Rh1 0.250 0.250 0.750



(3)
# PBE-GGA PrAg3Ge3, relaxed
# Energy of formation from the pure elements ... 0.25 eV per atom
# Fermi-level density of states ... 7.7 states/eV/cell
# Total moment ... 0.00 μB/cell
data_PrAg3Ge3
_chemical_formula_sum 'Pr2 Ag6 Ge6'
_symmetry_space_group_name_H-M 'P m -3 n'
_symmetry_Int_Tables_number 223
_symmetry_space_group_name_Hall '-P 4n 2 3'
_cell_length_a 7.074
_cell_length_b 7.074
_cell_length_c 7.074
_cell_angle_alpha 90.00
_cell_angle_beta 90.00
_cell_angle_gamma 90.00
loop_
_atom_site_label
_atom_site_fract_x
_atom_site_fract_y
_atom_site_fract_z
Pr1 0.000 0.000 0.000
Ag1 0.000 0.250 0.500
Ge1 0.000 0.500 0.250



(4)
# PBE-GGA AcTc2Br2O7, relaxed
# ΔE_f (raw) ... -1.494 eV per atom
# Fermi-level density of states ... 10.6 states/eV/cell
# Total moment ... 2.38 μB/cell
data_AcTc2Br2O7
_chemical_formula_sum 'Ac2 Tc4 Br4 O14'
_symmetry_space_group_name_H-M 'C 1 2/m 1'
_symmetry_Int_Tables_number 12
_cell_length_a 5.583
_cell_length_b 5.586
_cell_length_c 14.299
_cell_angle_alpha 90.00
_cell_angle_beta 94.42
_cell_angle_gamma 90.00
loop_
_symmetry_equiv_pos_as_xyz
'x,y,z'
'-x,-y,-z'
'-x,y,-z'
'x,-y,z'
'x+1/2,y+1/2,z'
'-x+1/2,-y+1/2,-z'
'-x+1/2,y+1/2,-z'
'x+1/2,-y+1/2,z'
loop_
_atom_site_label
_atom_site_fract_x
_atom_site_fract_y
_atom_site_fract_z
Ac1 0.000 0.000 0.000
Tc1 0.022 0.500 0.153
Br1 0.128 0.000 0.567
O1 0.000 0.500 0.000
O2 0.071 0.500 0.271
O3 0.225 0.251 0.873



(5)
# PBE-GGA Sc2MoOs, relaxed
# Energy of formation from the pure elements ... 0.10 eV per atom
# Fermi-level density of states ... 2.8 states/eV/cell
# Total moment ... 0.00 μB/cell
data_Sc2MoOs
_chemical_formula_sum 'Sc2 Mo1 Os1'
_symmetry_space_group_name_H-M 'P m m 2'
_symmetry_Int_Tables_number 25
_cell_length_a 3.011
_cell_length_b 4.335
_cell_length_c 5.430
_cell_angle_alpha 90.00
_cell_angle_beta 90.00
_cell_angle_gamma 90.00
loop_
_symmetry_equiv_pos_as_xyz
'x,y,z'
'-x,-y,z'
'-x,y,z'
'x,-y,z'
loop_
_atom_site_label
_atom_site_fract_x
_atom_site_fract_y
_atom_site_fract_z
Sc1 0.000 0.000 0.000
Sc2 0.500 0.500 0.271
Mo1 0.000 0.000 0.536
Os1 0.500 0.500 0.745



(6)
# PBE-GGA Be2HgTe, relaxed
# ΔE_f (raw) ... 0.358 eV per atom
# Fermi-level density of states ... 1.0 states/eV/cell
# Total moment ... 0.00 μB/cell
# ΔE to the lowest computed polymorph ... 0.020 eV per atom
data_Be2HgTe
_chemical_formula_sum 'Be4 Hg2 Te2'
_symmetry_space_group_name_H-M 'C 1 m 1'
_symmetry_Int_Tables_number 8
_cell_length_a 12.816
_cell_length_b 3.560
_cell_length_c 3.561
_cell_angle_alpha 90.00
_cell_angle_beta 106.07
_cell_angle_gamma 90.00
loop_
_symmetry_equiv_pos_as_xyz
'x,y,z'
'x,-y,z'
'x+1/2,y+1/2,z'
'x+1/2,-y+1/2,z'
loop_
_atom_site_label
_atom_site_fract_x
_atom_site_fract_y
_atom_site_fract_z
Be1 0.000 0.000 0.000
Be2 0.158 0.500 0.662
Hg1 0.201 0.000 0.205
Te1 0.455 0.000 0.456